Compound: BaSrCeNiO6
Source: the Alexandria database
Functional: PBE with a Hubbard U
Structure: relaxed

a = 5.8087 Å, b = 5.8087 Å, c = 5.8087 Å
α = 60.00°, β = 60.00°, γ = 60.00°
Closest atoms and distances in Å follow each position.
Sites, in units of the cell vectors:
1 O 0.7319 0.2681 0.2681  1 Ni 1.91
2 O 0.7319 0.7319 0.2681  1 Ni 1.91
3 Ni 0.5000 0.5000 0.5000  6 O 1.91
4 Sr 0.2500 0.2500 0.2500  12 O 2.91
5 O 0.2681 0.2681 0.7319  1 Ni 1.91
6 O 0.2681 0.7319 0.7319  1 Ni 1.91
7 O 0.7319 0.2681 0.7319  1 Ni 1.91
8 Ba 0.7500 0.7500 0.7500  12 O 2.91
9 O 0.2681 0.7319 0.2681  1 Ni 1.91
10 Ce 0.0000 0.0000 0.0000  6 O 2.20

Summary:
The total energy comes out at -6.47 eV/atom. As for the calculated volume: 13.86 Å³ per atom.